# Er4AsPbS2, relaxed, DFT PBE
data_Er4AsPbS2
_cell_length_a 7.062
_cell_length_b 4.004
_cell_length_c 7.131
_cell_angle_alpha 90.00
_cell_angle_beta 109.19
_cell_angle_gamma 90.00
_symmetry_space_group_name_H-M 'P 1 2/m 1'
_symmetry_Int_Tables_number 10
_symmetry_space_group_name_Hall '-P 2y'
loop_
_atom_site_label
_atom_site_fract_x
_atom_site_fract_y
_atom_site_fract_z
Er1 0.230 0.000 0.230
Er2 0.243 0.500 0.757
As1 0.500 0.000 0.000
Pb1 0.500 0.500 0.500
S1 0.000 0.000 0.500
S2 0.000 0.500 0.000
# **Total energy**: -46.21 eV for the cell shown